[1]
A plane-wave DFT calculation with PBE was carried out for a relaxed CeTh2In2Ag2 crystal.

Structure (CIF):
```
data_CeTh2In2Ag2
_space_group_name_H-M_alt 'R -3 m'
_space_group_IT_number 166
_space_group_name_Hall '-R 3 2"'
_cell_length_a 4.9652
_cell_length_b 4.9652
_cell_length_c 26.2640
_cell_angle_alpha 90.00
_cell_angle_beta 90.00
_cell_angle_gamma 120.00
loop_
_atom_site_label
_atom_site_type_symbol
_atom_site_fract_x
_atom_site_fract_y
_atom_site_fract_z
Ce1 Ce 0.0000 0.0000 0.0000
Th1 Th 0.0000 0.0000 0.1276
In1 In 0.0000 0.0000 0.2665
Ag1 Ag 0.0000 0.0000 0.3985
```

Properties
Total moment: 1.01 μB/f.u.
Energy of formation: -110 meV/atom
N(E_F): 26.54 states/eV per cell
Calculated total energy: -4.6747 eV per atom


[2]
A plane-wave DFT calculation with PBE was carried out for a relaxed CeTiInAg crystal.

Structure (CIF):
```
data_CeTiInAg
_space_group_name_H-M_alt 'F -4 3 m'
_space_group_IT_number 216
_space_group_name_Hall 'F -4 2 3'
_cell_length_a 7.198
_cell_length_b 7.198
_cell_length_c 7.198
_cell_angle_alpha 90.00
_cell_angle_beta 90.00
_cell_angle_gamma 90.00
loop_
_atom_site_label
_atom_site_type_symbol
_atom_site_fract_x
_atom_site_fract_y
_atom_site_fract_z
Ce1 Ce 0.000 0.000 0.000
Ti1 Ti 0.000 0.000 0.500
In1 In 0.250 0.250 0.750
Ag1 Ag 0.250 0.250 0.250
```

Properties
Total moment: 2.61 μB/f.u.
Energy of formation: -24 meV/atom
N(E_F): 30.67 states/eV per cell
Calculated total energy: -4.8784 eV per atom